Density functional theory data (PBE) for a relaxed CsBeN crystal.

Calculated values
DOS(E_F)	0.00	states/eV/f.u.
formation energy (no corrections)	-0.349	eV per atom
E above lowest polymorph	103.3	meV/atom

Cell and atoms, written as CIF:
```
data_CsBeN
_cell_length_a 6.3427
_cell_length_b 3.2637
_cell_length_c 11.2897
_cell_angle_alpha 90.00
_cell_angle_beta 90.00
_cell_angle_gamma 90.00
_space_group_name_H-M_alt 'P 1'
_space_group_IT_number 1
loop_
_space_group_symop_operation_xyz
'x,y,z'
loop_
_atom_site_label
_atom_site_type_symbol
_atom_site_fract_x
_atom_site_fract_y
_atom_site_fract_z
Cs1 Cs 0.9217 0.2500 0.3445
Cs2 Cs 0.0783 0.7500 0.6555
Cs3 Cs 0.4217 0.2500 0.1555
Cs4 Cs 0.5783 0.7500 0.8445
N1 N 0.6243 0.7500 0.5676
N2 N 0.3757 0.2500 0.4324
N3 N 0.8757 0.2500 0.0676
N4 N 0.1243 0.7500 0.9324
Be1 Be 0.5659 0.2500 0.5426
Be2 Be 0.0659 0.2500 0.9574
Be3 Be 0.4341 0.7500 0.4574
Be4 Be 0.9341 0.7500 0.0426
```

***

Density functional theory data (PBE) for a relaxed CsBeN2 crystal.

Calculated values
DOS(E_F)	2.89	states/eV/f.u.
formation energy (no corrections)	1.328	eV per atom
E above lowest polymorph	264.7	meV/atom

Cell and atoms, written as CIF:
```
data_CsBeN2
_cell_length_a 6.9839
_cell_length_b 6.9839
_cell_length_c 6.9839
_cell_angle_alpha 26.72
_cell_angle_beta 26.72
_cell_angle_gamma 26.72
_space_group_name_H-M_alt 'P 1'
_space_group_IT_number 1
loop_
_space_group_symop_operation_xyz
'x,y,z'
loop_
_atom_site_label
_atom_site_type_symbol
_atom_site_fract_x
_atom_site_fract_y
_atom_site_fract_z
N1 N 0.8676 0.8676 0.8676
N2 N 0.1325 0.1325 0.1325
Cs1 Cs 0.0000 0.0000 0.0000
Be1 Be 0.5000 0.5000 0.5000
```

***

Density functional theory data (PBE) for a relaxed CsBeN2 crystal.

Calculated values
DOS(E_F)	2.01	states/eV/f.u.
formation energy (no corrections)	1.063	eV per atom
E above lowest polymorph	0.0	meV/atom

Cell and atoms, written as CIF:
```
data_CsBeN2
_cell_length_a 7.3593
_cell_length_b 7.3593
_cell_length_c 7.3593
_cell_angle_alpha 34.13
_cell_angle_beta 34.13
_cell_angle_gamma 34.13
_space_group_name_H-M_alt 'P 1'
_space_group_IT_number 1
loop_
_space_group_symop_operation_xyz
'x,y,z'
loop_
_atom_site_label
_atom_site_type_symbol
_atom_site_fract_x
_atom_site_fract_y
_atom_site_fract_z
N1 N 0.0748 0.0748 0.0748
N2 N 0.9252 0.9252 0.9252
Be1 Be 0.0000 0.0000 0.0000
Cs1 Cs 0.5000 0.5000 0.5000
```

***

Density functional theory data (PBE) for a relaxed CsBeNO2 crystal.

Calculated values
DOS(E_F)	3.93	states/eV/f.u.
formation energy (no corrections)	1.944	eV per atom

Cell and atoms, written as CIF:
```
data_CsBeNO2
_cell_length_a 4.3452
_cell_length_b 4.3452
_cell_length_c 4.4330
_cell_angle_alpha 90.00
_cell_angle_beta 90.00
_cell_angle_gamma 90.00
_space_group_name_H-M_alt 'P 1'
_space_group_IT_number 1
loop_
_space_group_symop_operation_xyz
'x,y,z'
loop_
_atom_site_label
_atom_site_type_symbol
_atom_site_fract_x
_atom_site_fract_y
_atom_site_fract_z
O1 O 0.5000 0.0000 0.0000
O2 O 0.0000 0.5000 0.0000
Cs1 Cs 0.0000 0.0000 0.0000
Be1 Be 0.5000 0.5000 0.5000
N1 N 0.0000 0.0000 0.5000
```

***

Density functional theory data (PBE) for a relaxed CsBeNO2 crystal.

Calculated values
DOS(E_F)	2.46	states/eV/f.u.
formation energy (no corrections)	0.237	eV per atom

Cell and atoms, written as CIF:
```
data_CsBeNO2
_cell_length_a 3.5965
_cell_length_b 3.5965
_cell_length_c 5.0257
_cell_angle_alpha 90.00
_cell_angle_beta 90.00
_cell_angle_gamma 90.00
_space_group_name_H-M_alt 'P 1'
_space_group_IT_number 1
loop_
_space_group_symop_operation_xyz
'x,y,z'
loop_
_atom_site_label
_atom_site_type_symbol
_atom_site_fract_x
_atom_site_fract_y
_atom_site_fract_z
Be1 Be 0.0000 0.0000 0.0000
N1 N 0.0000 0.0000 0.5000
O1 O 0.5000 0.0000 0.0000
O2 O 0.0000 0.5000 0.0000
Cs1 Cs 0.5000 0.5000 0.5000
```

***

Density functional theory data (PBE) for a relaxed CsBeSN2 crystal.

Calculated values
DOS(E_F)	2.62	states/eV/f.u.
formation energy (no corrections)	2.731	eV per atom

Cell and atoms, written as CIF:
```
data_CsBeSN2
_cell_length_a 4.1656
_cell_length_b 4.1656
_cell_length_c 6.9577
_cell_angle_alpha 90.00
_cell_angle_beta 90.00
_cell_angle_gamma 90.00
_space_group_name_H-M_alt 'P 1'
_space_group_IT_number 1
loop_
_space_group_symop_operation_xyz
'x,y,z'
loop_
_atom_site_label
_atom_site_type_symbol
_atom_site_fract_x
_atom_site_fract_y
_atom_site_fract_z
N1 N 0.5000 0.0000 0.0000
N2 N 0.0000 0.5000 0.0000
Cs1 Cs 0.0000 0.0000 0.0000
Be1 Be 0.5000 0.5000 0.5000
S1 S 0.0000 0.0000 0.5000
```

***

Density functional theory data (PBE) for a relaxed CsBeSeN2 crystal.

Calculated values
DOS(E_F)	3.19	states/eV/f.u.
formation energy (no corrections)	2.608	eV per atom

Cell and atoms, written as CIF:
```
data_CsBeSeN2
_cell_length_a 4.1926
_cell_length_b 4.1926
_cell_length_c 7.2861
_cell_angle_alpha 90.00
_cell_angle_beta 90.00
_cell_angle_gamma 90.00
_space_group_name_H-M_alt 'P 1'
_space_group_IT_number 1
loop_
_space_group_symop_operation_xyz
'x,y,z'
loop_
_atom_site_label
_atom_site_type_symbol
_atom_site_fract_x
_atom_site_fract_y
_atom_site_fract_z
Cs1 Cs 0.0000 0.0000 0.0000
N1 N 0.0000 0.5000 0.0000
N2 N 0.5000 0.0000 0.0000
Se1 Se 0.0000 0.0000 0.5000
Be1 Be 0.5000 0.5000 0.5000
```

***

Density functional theory data (PBE) for a relaxed CsBeTe2N crystal.

Calculated values
DOS(E_F)	3.77	states/eV/f.u.
formation energy (no corrections)	0.154	eV per atom
E above lowest polymorph	0.0	meV/atom

Cell and atoms, written as CIF:
```
data_CsBeTe2N
_cell_length_a 6.7934
_cell_length_b 6.7934
_cell_length_c 3.1030
_cell_angle_alpha 90.00
_cell_angle_beta 90.00
_cell_angle_gamma 90.00
_space_group_name_H-M_alt 'P 1'
_space_group_IT_number 1
loop_
_space_group_symop_operation_xyz
'x,y,z'
loop_
_atom_site_label
_atom_site_type_symbol
_atom_site_fract_x
_atom_site_fract_y
_atom_site_fract_z
N1 N 0.0000 0.0000 0.5000
Be1 Be 0.0000 0.0000 0.0000
Te1 Te 0.0000 0.5000 0.0000
Te2 Te 0.5000 0.0000 0.0000
Cs1 Cs 0.5000 0.5000 0.5000
```